i | This record from the Alexandria database describes crystalline LaZnH2O at its relaxed geometry. The functional is PBE.

Lattice parameters (Å, degrees): 7.2192 4.1537 5.3468 90.00 117.07 90.00
Closest atoms and distances in Å follow each position.
Space group Cm (No. 8)
Unique sites:
1 La 0.0000 0.0000 0.0000 [2 per cell]  6 H 2.40-2.58, 3 O 2.43-2.44
2 Zn 0.4961 0.0000 0.4919 [2 per cell]  1 O 2.05
3 H 0.2664 0.0000 0.8016 [2 per cell]  1 H 0.83
4 H 0.3250 0.0000 0.9765 [2 per cell]  1 H 0.83
5 O 0.1400 0.5000 0.9216 [2 per cell]  1 Zn 2.05

Calculated values
total magnetic moment	0.0	μB/f.u.
Fermi-level density of states	0.275	states/eV per atom

ii | This record from the Alexandria database describes crystalline LaZnH2O at its relaxed geometry. The functional is PBE.

Lattice parameters (Å, degrees): 3.9469 3.9775 6.4878 99.48 90.01 119.40
Closest atoms and distances in Å follow each position.
Space group P1 (No. 1)
Unique sites:
1 La 0.0000 0.0000 0.0000 [1 per cell]  3 O 2.30-2.31
2 Zn 0.7298 0.5225 0.4157 [1 per cell]  2 H 2.27-2.31
3 H 0.6894 0.2174 0.6885 [1 per cell]  1 H 0.82
4 H 0.7148 0.0269 0.6425 [1 per cell]  1 H 0.82
5 O 0.3292 0.6540 0.9730 [1 per cell]  3 La 2.30-2.31

Calculated values
total magnetic moment	0.0	μB/f.u.
Fermi-level density of states	0.269	states/eV per atom

Energies, relative to the best one, in kJ/mol of atoms: i 0.0; ii 4.6.

i | This record from the Alexandria database describes crystalline La4HOs at its relaxed geometry. The functional is PBE.

Lattice parameters (Å, degrees): 9.0617 9.0617 8.7510 90.00 90.00 90.00
Closest atoms and distances in Å follow each position.
Space group I4_1/amd (No. 141, origin choice 2)
Unique sites:
1 La 0.0000 0.0467 0.2037 [16 per cell]  1 H 2.38
2 H 0.0000 0.2500 0.3750 [4 per cell]  4 La 2.38
3 Os 0.0000 0.2500 0.8750 [4 per cell]  4 La 2.78

Calculated values
total magnetic moment	0.0	μB/f.u.
Fermi-level density of states	0.857	states/eV per atom

ii | This record from the Alexandria database describes crystalline La4HOs at its relaxed geometry. The functional is PBE.

Lattice parameters (Å, degrees): 5.9655 9.0856 7.0287 90.00 113.03 90.00
Closest atoms and distances in Å follow each position.
Space group P2_1/m (No. 11)
Unique sites:
1 La 0.0989 0.2500 0.1560 [2 per cell]  1 H 2.37
2 La 0.2644 0.7500 0.4377 [2 per cell]  1 H 2.32
3 La 0.3406 0.0431 0.7429 [4 per cell]  1 H 2.44
4 H 0.3287 0.2500 0.5180 [2 per cell]  4 La 2.32-2.44
5 Os 0.4326 0.7500 0.9049 [2 per cell]  7 La 2.86-3.03

Calculated values
total magnetic moment	0.0	μB/f.u.
Fermi-level density of states	0.889	states/eV per atom

Energies, relative to the best one, in kJ/mol of atoms: i 0.0; ii 9.7.

i | This record from the Alexandria database describes crystalline LaH2Os at its relaxed geometry. The functional is PBE.

Lattice parameters (Å, degrees): 4.3668 4.3668 11.2646 90.00 90.00 90.00
Closest atoms and distances in Å follow each position.
Space group I-42d (No. 122)
Unique sites:
1 La 0.0000 0.0000 0.0000 [4 per cell]  4 H 2.55
2 H 0.0815 0.2500 0.6250 [8 per cell]  2 Os 1.82
3 Os 0.0000 0.0000 0.5000 [4 per cell]  4 H 1.82

Calculated values
total magnetic moment	0.0	μB/f.u.
Fermi-level density of states	0.638	states/eV per atom

ii | This record from the Alexandria database describes crystalline LaH2Os at its relaxed geometry. The functional is PBE.

Lattice parameters (Å, degrees): 5.9527 5.9527 5.9527 90.00 90.00 90.00
Closest atoms and distances in Å follow each position.
Space group Fm-3m (No. 225)
Unique sites:
1 La 0.0000 0.0000 0.0000 [4 per cell]  8 H 2.58
2 H 0.2500 0.2500 0.2500 [8 per cell]  4 Os 2.58, 4 La 2.58
3 Os 0.0000 0.0000 0.5000 [4 per cell]  8 H 2.58

Calculated values
total magnetic moment	0.0	μB/f.u.
Fermi-level density of states	0.807	states/eV per atom

Energies, relative to the best one, in kJ/mol of atoms: i 0.0; ii 43.9.

i | This record from the Alexandria database describes crystalline La3HOs at its relaxed geometry. The functional is PBE.

Lattice parameters (Å, degrees): 4.8439 4.8439 4.8439 90.00 90.00 90.00
Closest atoms and distances in Å follow each position.
Space group Pm-3m (No. 221)
Unique sites:
1 La 0.0000 0.0000 0.5000 [3 per cell]  2 H 2.42
2 H 0.0000 0.0000 0.0000 [1 per cell]  6 La 2.42
3 Os 0.5000 0.5000 0.5000 [1 per cell]  12 La 3.43

Calculated values
total magnetic moment	0.0	μB/f.u.
Fermi-level density of states	1.439	states/eV per atom

ii | This record from the Alexandria database describes crystalline La3HOs at its relaxed geometry. The functional is PBE.

Lattice parameters (Å, degrees): 12.9424 5.7688 7.8864 90.00 110.44 90.00
Closest atoms and distances in Å follow each position.
Space group C2/m (No. 12)
Unique sites:
1 La 0.0021 0.0000 0.2515 [4 per cell]  2 H 2.79-2.99, 2 Os 2.81-2.96
2 La 0.1692 0.5000 0.0618 [4 per cell]  3 H 2.63-2.89, 1 Os 2.64
3 La 0.1781 0.5000 0.5880 [4 per cell]  1 H 2.66, 3 Os 2.90-2.91
4 H 0.1737 0.0000 0.0779 [4 per cell]  5 La 2.63-2.89
5 Os 0.1734 0.0000 0.6174 [4 per cell]  5 La 2.64-2.91

Calculated values
total magnetic moment	0.0	μB/f.u.
Fermi-level density of states	0.877	states/eV per atom

Energies, relative to the best one, in kJ/mol of atoms: i 34.8; ii 0.0.